P | Compound: PrNd2Rh2
Source: Alexandria via LeMat-Bulk
Functional: PBE
Structure: optimized geometry

The structure belongs to space group P4/mbm (No. 127); the cell edges are 7.863, 7.863 and 4.091 Å and the angles 90.00°, 90.00° and 90.00°. Symmetry generates all atoms from Pr at (0.000, 0.000, 0.000), Nd at (0.160, 0.340, 0.500) and Rh at (0.139, 0.639, 0.000).

Its crystal system is tetragonal.

***

Q | Compound: PrNd2Rh2
Source: Alexandria via LeMat-Bulk
Functional: PBE
Structure: optimized geometry

The structure belongs to space group Immm (No. 71); the cell edges are 4.007, 6.787 and 9.628 Å and the angles 90.00°, 90.00° and 90.00°. Symmetry generates all atoms from Pr at (0.000, 0.000, 0.000), Nd at (0.000, 0.500, 0.188) and Rh at (0.000, 0.205, 0.500).

Its crystal system is orthorhombic.

***

Which of them is least stable? Easy: Q.

***

P | Compound: Pr2NdRh
Source: Alexandria via LeMat-Bulk
Functional: PBE
Structure: optimized geometry

The structure belongs to space group Cmcm (No. 63); the cell edges are 3.928, 12.213 and 10.074 Å and the angles 90.00°, 90.00° and 90.00°. Symmetry generates all atoms from Pr at (0.000, 0.139, 0.067), Nd at (0.000, 0.415, 0.250) and Rh at (0.000, 0.266, 0.750).

Its crystal system is orthorhombic.

***

Q | Compound: Pr2NdRh
Source: Alexandria via LeMat-Bulk
Functional: PBE
Structure: optimized geometry

The structure belongs to space group R3m (No. 160, hexagonal axes); the cell edges are 3.9784, 3.9784 and 28.5117 Å and the angles 90.00°, 90.00° and 120.00°. Symmetry generates all atoms from Pr at (0.0000, 0.0000, 0.0000), Pr at (0.0000, 0.0000, 0.2148), Nd at (0.0000, 0.0000, 0.4413) and Rh at (0.0000, 0.0000, 0.6071).

Its crystal system is trigonal.

***

R | Compound: Pr2NdRh
Source: Alexandria via LeMat-Bulk
Functional: PBE
Structure: optimized geometry

The structure belongs to space group Pnma (No. 62); the cell edges are 7.383, 10.072 and 6.516 Å and the angles 90.00°, 90.00° and 90.00°. Symmetry generates all atoms from Pr at (0.176, 0.066, 0.169), Nd at (0.035, 0.250, 0.649) and Rh at (0.123, 0.750, 0.934).

Its crystal system is orthorhombic.

***

S | Compound: Pr2NdRh
Source: Alexandria via LeMat-Bulk
Functional: PBE
Structure: optimized geometry

The structure belongs to space group R-3m (No. 166, hexagonal axes); the cell edges are 3.8215, 3.8215 and 32.2313 Å and the angles 90.00°, 90.00° and 120.00°. Symmetry generates all atoms from Pr at (0.0000, 0.0000, 0.1114), Nd at (0.0000, 0.0000, 0.0000) and Rh at (0.0000, 0.0000, 0.5000).

Its crystal system is trigonal.

***

Which of them is least stable? Easy: S.

***

P | Compound: Pr2Nd2Rh3
Source: Alexandria via LeMat-Bulk
Functional: PBE
Structure: optimized geometry

The structure belongs to space group I2_13 (No. 199); the cell edges are 8.906, 8.906 and 8.906 Å and the angles 90.00°, 90.00° and 90.00°. Symmetry generates all atoms from Pr at (0.060, 0.060, 0.060), Nd at (0.191, 0.309, 0.691) and Rh at (0.000, 0.250, 0.381).

Its crystal system is cubic.

***

Q | Compound: Pr2Nd2Rh3
Source: Alexandria via LeMat-Bulk
Functional: PBE
Structure: optimized geometry

The structure belongs to space group C2/m (No. 12); the cell edges are 13.498, 4.201 and 7.129 Å and the angles 90.00°, 100.64° and 90.00°. Symmetry generates all atoms from Pr at (0.125, 0.000, 0.386), Nd at (0.135, 0.500, 0.861), Rh at (0.000, 0.500, 0.500) and Rh at (0.241, 0.500, 0.243).

Its crystal system is monoclinic.

***

Which of them is least stable? Easy: Q.

***

P | Compound: Pr2NdRh2
Source: Alexandria via LeMat-Bulk
Functional: PBE
Structure: optimized geometry

The structure belongs to space group R-3m (No. 166, hexagonal axes); the cell edges are 4.7908, 4.7908 and 19.4518 Å and the angles 90.00°, 90.00° and 120.00°. Symmetry generates all atoms from Pr at (0.0000, 0.0000, 0.2200), Nd at (0.0000, 0.0000, 0.0000) and Rh at (0.0000, 0.0000, 0.3866).

Its crystal system is trigonal.

***

Q | Compound: Pr2NdRh2
Source: Alexandria via LeMat-Bulk
Functional: PBE
Structure: optimized geometry

The structure belongs to space group P4/mbm (No. 127); the cell edges are 7.855, 7.855 and 4.140 Å and the angles 90.00°, 90.00° and 90.00°. Symmetry generates all atoms from Pr at (0.161, 0.339, 0.000), Nd at (0.000, 0.000, 0.500) and Rh at (0.140, 0.640, 0.500).

Its crystal system is tetragonal.

***

Which of them is least stable? Easy: P.

***

P | Compound: PrNd2Ru
Source: Alexandria via LeMat-Bulk
Functional: PBE
Structure: optimized geometry

The structure belongs to space group Cmcm (No. 63); the cell edges are 3.985, 12.378 and 9.650 Å and the angles 90.00°, 90.00° and 90.00°. Symmetry generates all atoms from Pr at (0.000, 0.081, 0.250), Nd at (0.000, 0.358, 0.070) and Ru at (0.000, 0.249, 0.750).

Its crystal system is orthorhombic.

***

Q | Compound: PrNd2Ru
Source: Alexandria via LeMat-Bulk
Functional: PBE
Structure: optimized geometry

The structure belongs to space group Pnma (No. 62); the cell edges are 7.442, 9.802 and 6.514 Å and the angles 90.00°, 90.00° and 90.00°. Symmetry generates all atoms from Pr at (0.042, 0.250, 0.145), Nd at (0.176, 0.068, 0.670) and Ru at (0.115, 0.750, 0.443).

Its crystal system is orthorhombic.

***

Which of them is least stable? Easy: P.

***

P | Compound: PrNd2Ru
Source: Alexandria via LeMat-Bulk
Functional: PBE
Structure: optimized geometry

The structure belongs to space group R-3m (No. 166, hexagonal axes); the cell edges are 3.7959, 3.7959 and 32.0528 Å and the angles 90.00°, 90.00° and 120.00°. Symmetry generates all atoms from Pr at (0.0000, 0.0000, 0.0000), Nd at (0.0000, 0.0000, 0.1123) and Ru at (0.0000, 0.0000, 0.5000).

Its crystal system is trigonal.

***

Q | Compound: PrNd2Ru
Source: Alexandria via LeMat-Bulk
Functional: PBE
Structure: optimized geometry

The structure belongs to space group P4/mmm (No. 123); the cell edges are 3.542, 3.542 and 9.418 Å and the angles 90.00°, 90.00° and 90.00°. Symmetry generates all atoms from Pr at (0.000, 0.000, 0.000), Nd at (0.500, 0.500, 0.319) and Ru at (0.000, 0.000, 0.500).

Its crystal system is tetragonal.

***

Which of them is least stable? Easy: P.